a:
A geometry-optimized Ta2TiMn structure, computed with PBE-GGA.

DOS at the Fermi energy in states/eV/cell: 14.0
Space-group type: No. 122
Magnetic moment in μB per atom: 0.000

Lattice parameters (Å, degrees): 7.0902 7.0902 5.4346 90.00 90.00 90.00
Closest atoms and distances in Å follow each position.
Sites, in units of the cell vectors:
Ta: 0.2119 0.2500 0.1250  2 Mn 2.42
Ta: 0.2500 0.7119 0.3750  2 Mn 2.42
Ta: 0.2500 0.7881 0.8750  2 Mn 2.42
Ta: 0.2881 0.2500 0.6250  2 Mn 2.42
Ta: 0.7119 0.7500 0.6250  2 Mn 2.42
Ta: 0.7500 0.2119 0.8750  2 Mn 2.42
Ta: 0.7500 0.2881 0.3750  2 Mn 2.42
Ta: 0.7881 0.7500 0.1250  2 Mn 2.42
Ti: 0.0000 0.0000 0.5000  2 Mn 2.72, 4 Ta 2.79
Ti: 0.0000 0.5000 0.7500  2 Mn 2.72, 4 Ta 2.79
Ti: 0.5000 0.0000 0.2500  2 Mn 2.72, 4 Ta 2.79
Ti: 0.5000 0.5000 0.0000  2 Mn 2.72, 4 Ta 2.79
Mn: 0.0000 0.0000 0.0000  4 Ta 2.42
Mn: 0.0000 0.5000 0.2500  4 Ta 2.42
Mn: 0.5000 0.0000 0.7500  4 Ta 2.42
Mn: 0.5000 0.5000 0.5000  4 Ta 2.42

---

b:
A geometry-optimized Ta2TiMn structure, computed with PBE-GGA.

DOS at the Fermi energy in states/eV/cell: 4.9
Space-group type: No. 123
Magnetic moment in μB per atom: 0.000

Lattice parameters (Å, degrees): 3.0869 3.0869 6.6919 90.00 90.00 90.00
Closest atoms and distances in Å follow each position.
Sites, in units of the cell vectors:
Ta: 0.0000 0.0000 0.2266  4 Mn 2.66, 4 Ti 2.85
Ta: 0.0000 0.0000 0.7734  4 Mn 2.66, 4 Ti 2.85
Ti: 0.5000 0.5000 0.5000  8 Ta 2.85, 4 Ti 3.09
Mn: 0.5000 0.5000 0.0000  8 Ta 2.66

---

Ranking the structures above from most stable to least stable yields b, a.